Record 1
# MnInNi5 (PBE, relaxed)
data_MnInNi5
_chemical_formula_sum 'Mn1 In1 Ni5'
_symmetry_space_group_name_H-M 'P 4/m m m'
_symmetry_Int_Tables_number 123
_symmetry_space_group_name_Hall '-P 4 2'
_cell_length_a 3.5112
_cell_length_b 3.5112
_cell_length_c 7.5823
_cell_angle_alpha 90.00
_cell_angle_beta 90.00
_cell_angle_gamma 90.00
loop_
_atom_site_label
_atom_site_fract_x
_atom_site_fract_y
_atom_site_fract_z
_atom_site_occupancy
Mn1 0.0000 0.0000 0.0000 1
In1 0.5000 0.5000 0.5000 1
Ni1 0.0000 0.5000 0.2336 1
Ni2 0.5000 0.5000 0.0000 1
# Calculated formation energy (eV/atom): 0.015
# Magnetization (μB/f.u.): 3.82

***

Record 2
# LiMn2Hg2 (PBE, relaxed)
data_LiMn2Hg2
_chemical_formula_sum 'Li2 Mn4 Hg4'
_symmetry_space_group_name_H-M 'I 4/m m m'
_symmetry_Int_Tables_number 139
_symmetry_space_group_name_Hall '-I 4 2'
_cell_length_a 4.9865
_cell_length_b 4.9865
_cell_length_c 7.6181
_cell_angle_alpha 90.00
_cell_angle_beta 90.00
_cell_angle_gamma 90.00
loop_
_atom_site_label
_atom_site_fract_x
_atom_site_fract_y
_atom_site_fract_z
_atom_site_occupancy
Li1 0.0000 0.0000 0.0000 1
Mn1 0.0000 0.0000 0.3747 1
Hg1 0.0000 0.5000 0.2500 1
# Calculated formation energy (eV/atom): 0.552
# Magnetization (μB/f.u.): 3.13

***

Record 3
# Cu3IrI9 (PBE, relaxed)
data_Cu3IrI9
_chemical_formula_sum 'Cu12 Ir4 I36'
_symmetry_space_group_name_H-M 'C 1 c 1'
_symmetry_Int_Tables_number 9
_cell_length_a 20.7704
_cell_length_b 8.3524
_cell_length_c 13.2934
_cell_angle_alpha 90.00
_cell_angle_beta 123.57
_cell_angle_gamma 90.00
loop_
_symmetry_equiv_pos_as_xyz
'x,y,z'
'x,-y,z+1/2'
'x+1/2,y+1/2,z'
'x+1/2,-y+1/2,z+1/2'
loop_
_atom_site_label
_atom_site_fract_x
_atom_site_fract_y
_atom_site_fract_z
_atom_site_occupancy
Cu1 0.0000 0.0635 0.0000 1
Cu2 0.2690 0.4046 0.6716 1
Cu3 0.4469 0.0892 0.6275 1
Ir1 0.1377 0.2450 0.8460 1
I1 0.0101 0.0791 0.6808 1
I2 0.0538 0.4987 0.8331 1
I3 0.1295 0.0934 0.0194 1
I4 0.1453 0.3893 0.6677 1
I5 0.2268 0.0160 0.8510 1
I6 0.2687 0.3909 0.0260 1
I7 0.3157 0.1354 0.6063 1
I8 0.4035 0.3282 0.8559 1
I9 0.4237 0.1754 0.4301 1
# Magnetization (μB/f.u.): 0.00
# E (eV per atom): -2.7480

***

Record 4
# TeS6Br2 (PBE, relaxed)
data_TeS6Br2
_chemical_formula_sum 'Te1 S6 Br2'
_symmetry_space_group_name_H-M 'P -1'
_symmetry_Int_Tables_number 2
_cell_length_a 4.1516
_cell_length_b 6.9890
_cell_length_c 10.7891
_cell_angle_alpha 103.54
_cell_angle_beta 90.18
_cell_angle_gamma 103.59
loop_
_symmetry_equiv_pos_as_xyz
'x,y,z'
'-x,-y,-z'
loop_
_atom_site_label
_atom_site_fract_x
_atom_site_fract_y
_atom_site_fract_z
_atom_site_occupancy
Te1 0.0000 0.0000 0.0000 1
S1 0.0014 0.7548 0.6203 1
S2 0.1180 0.5131 0.6752 1
S3 0.1962 0.7393 0.4423 1
Br1 0.4081 0.7673 0.0697 1
# Magnetization (μB/f.u.): 0.00
# E (eV per atom): -3.4608

***

Record 5
# Y2CdBRu (PBE, relaxed)
data_Y2CdBRu
_chemical_formula_sum 'Y2 Cd1 B1 Ru1'
_symmetry_space_group_name_H-M 'P 4/m m m'
_symmetry_Int_Tables_number 123
_symmetry_space_group_name_Hall '-P 4 2'
_cell_length_a 5.1361
_cell_length_b 5.1361
_cell_length_c 3.9886
_cell_angle_alpha 90.00
_cell_angle_beta 90.00
_cell_angle_gamma 90.00
loop_
_atom_site_label
_atom_site_fract_x
_atom_site_fract_y
_atom_site_fract_z
_atom_site_occupancy
Y1 0.0000 0.5000 0.0000 1
Cd1 0.0000 0.0000 0.5000 1
B1 0.5000 0.5000 0.0000 1
Ru1 0.5000 0.5000 0.5000 1
# Calculated formation energy (eV/atom): -0.330
# Magnetization (μB/f.u.): 0.00